# 1
Nd3In2Sn: optimized geometry, GGA-PBE.

Cell: 3.656 5.634 16.949 Å, 90.00 90.00 90.00°
Fractional positions:
Nd1 0.500 0.500 0.664
Nd2 0.500 0.000 0.836
Nd3 0.500 0.500 0.336
Nd4 0.500 0.000 0.164
Nd5 0.500 0.000 0.500
Nd6 0.500 0.500 0.000
Sn1 0.000 0.000 0.000
Sn2 0.000 0.500 0.500
In1 0.000 0.000 0.330
In2 0.000 0.500 0.830
In3 0.000 0.000 0.670
In4 0.000 0.500 0.170

Summary:
ρ ... 7.43 Mg/m³
Offset from the most stable computed form ... 9 meV per atom
DFT formation energy ... -3.2 eV per formula unit

=====

# 2
Li3Ca2Cd2: optimized geometry, GGA-PBE.

Cell: 3.716 7.286 7.711 Å, 114.80 103.94 90.00°
Fractional positions:
Li1 0.205 0.588 0.411
Li2 0.795 0.412 0.589
Li3 0.000 0.500 0.000
Cd1 0.569 0.292 0.138
Cd2 0.431 0.708 0.862
Ca1 0.871 0.001 0.742
Ca2 0.129 0.999 0.258

Summary:
ρ ... 2.96 Mg/m³
Offset from the most stable computed form ... 71 meV per atom
DFT formation energy ... -0.9 eV per formula unit

=====

# 3
Pm2BiTe: optimized geometry, GGA-PBE.

Cell: 6.400 6.400 12.790 Å, 90.00 90.00 90.00°
Fractional positions:
Te1 0.751 0.000 0.125
Te2 0.751 0.500 0.375
Te3 0.249 0.000 0.875
Te4 0.249 0.500 0.625
Bi1 0.750 0.500 0.875
Bi2 0.250 0.000 0.375
Bi3 0.250 0.500 0.125
Bi4 0.750 0.000 0.625
Pm1 0.250 0.000 0.624
Pm2 0.750 0.500 0.626
Pm3 0.250 0.500 0.374
Pm4 0.750 0.000 0.874
Pm5 0.250 0.500 0.876
Pm6 0.750 0.000 0.376
Pm7 0.250 0.000 0.126
Pm8 0.750 0.500 0.124

Summary:
ρ ... 7.94 Mg/m³
Offset from the most stable computed form ... 0 meV per atom
Formation energy from raw total energies ... -4.80 eV/f.u.

=====

# 4
MgSn5: optimized geometry, GGA-PBE.

Cell: 5.694 5.694 5.631 Å, 90.00 90.00 120.00°
Fractional positions:
Sn1 0.333 0.667 0.500
Sn2 0.328 0.328 0.000
Sn3 0.000 0.672 0.000
Sn4 0.667 0.333 0.500
Sn5 0.672 0.000 0.000
Mg1 0.000 0.000 0.500

Summary:
ρ ... 6.49 Mg/m³
DFT formation energy ... 0.1 eV per formula unit

=====

# 5
Be3In5: optimized geometry, GGA-PBE.

Cell: 6.355 8.967 8.701 Å, 110.38 87.57 134.43°
Fractional positions:
In1 0.383 0.057 0.184
In2 0.617 0.943 0.816
In3 0.182 0.705 0.407
In4 0.834 0.008 0.250
In5 0.816 0.295 0.593
In6 0.522 0.571 0.366
In7 0.165 0.992 0.750
In8 0.739 0.478 0.038
In9 0.477 0.429 0.634
In10 0.260 0.522 0.962
Be1 0.133 0.973 0.441
Be2 0.847 0.802 0.947
Be3 0.944 0.317 0.159
Be4 0.866 0.027 0.559
Be5 0.152 0.198 0.053
Be6 0.055 0.683 0.841

Summary:
ρ ... 6.31 Mg/m³
Offset from the most stable computed form ... 0 meV per atom
DFT formation energy ... 2.4 eV per formula unit

=====

# 6
SrLaGa2: optimized geometry, GGA-PBE.

Cell: 3.975 3.975 9.519 Å, 77.95 77.95 60.00°
Fractional positions:
Sr1 0.500 0.500 0.500
Ga1 0.747 0.747 0.758
Ga2 0.253 0.253 0.242
La1 0.000 0.000 0.000

Summary:
ρ ... 4.81 Mg/m³
DFT formation energy ... -0.9 eV per formula unit

=====

# 7
Zr3InS: optimized geometry, GGA-PBE.

Cell: 3.613 6.327 9.737 Å, 90.00 90.00 106.55°
Fractional positions:
S1 0.500 0.000 0.000
S2 0.500 0.000 0.500
Zr1 0.859 0.717 0.545
Zr2 0.544 0.087 0.750
Zr3 0.141 0.283 0.455
Zr4 0.859 0.717 0.955
Zr5 0.141 0.283 0.045
Zr6 0.456 0.913 0.250
In1 0.244 0.486 0.750
In2 0.756 0.514 0.250

Summary:
ρ ... 6.55 Mg/m³
Offset from the most stable computed form ... 0 meV per atom
Formation energy from raw total energies ... -4.06 eV/f.u.

=====

# 8
ErAgPb: optimized geometry, GGA-PBE.

Cell: 4.702 4.702 9.066 Å, 74.97 74.97 60.00°
Fractional positions:
Ag1 0.167 0.167 0.498
Ag2 0.833 0.833 0.502
Pb1 0.302 0.302 0.094
Pb2 0.698 0.698 0.906
Er1 0.563 0.563 0.310
Er2 0.437 0.437 0.690

Summary:
ρ ... 9.67 Mg/m³
DFT formation energy ... -0.5 eV per formula unit